Entry 1:
{
  "formula": "Hg2GePb2",
  "functional": "PBE",
  "state": "optimized geometry",
  "ef_ev_per_fu": 0.8,
  "sg": "P4/mbm",
  "total_energy_ev_per_atom": -2.3696,
  "rho_g_cm3": 10.69,
  "lattice": [[-6.565, -1.410, 3.257], [3.052, -5.739, 3.667], [1.203, 3.026, 3.735]],
  "species": ["Pb", "Pb", "Pb", "Pb", "Hg", "Hg", "Hg", "Hg", "Ge", "Ge"],
  "frac_coords": [[0.328, 0.172, 0.500], [0.172, 0.672, 0.500], [0.828, 0.328, 0.500], [0.672, 0.828, 0.500], [0.359, 0.859, 0.000], [0.641, 0.141, 0.000], [0.859, 0.641, 0.000], [0.141, 0.359, 0.000], [0.000, 0.000, 0.000], [0.500, 0.500, 0.000]]
}



Entry 2:
{
  "formula": "CoSnCl3",
  "functional": "PBE",
  "state": "optimized geometry",
  "sg": "Pm-3m",
  "raw_formation_energy_ev_per_atom": -0.37,
  "total_energy_ev_per_atom": -3.6956,
  "rho_g_cm3": 4.28,
  "lattice": [[-2.658, 2.401, -3.186], [-3.944, -2.156, 1.665], [-0.599, 3.544, 3.171]],
  "species": ["Sn", "Cl", "Cl", "Cl", "Co"],
  "frac_coords": [[0.500, 0.500, 0.500], [0.000, 0.500, 0.000], [0.500, 0.000, 0.000], [0.000, 0.000, 0.500], [0.000, 0.000, 0.000]]
}



Entry 3:
{
  "formula": "LaGa2SbOs",
  "functional": "PBE",
  "state": "optimized geometry",
  "sg": "P4/mmm",
  "raw_formation_energy_ev_per_atom": 1.20,
  "total_energy_ev_per_atom": -4.0679,
  "rho_g_cm3": 6.25,
  "lattice": [[5.053, 0.000, 0.000], [0.000, 6.144, 0.000], [0.000, 0.000, 5.053]],
  "species": ["Ga", "Ga", "Sb", "La", "Os"],
  "frac_coords": [[0.000, 0.000, 0.500], [0.500, 0.000, 0.000], [0.000, 0.000, 0.000], [0.000, 0.500, 0.000], [0.500, 0.500, 0.500]]
}